No. 1
Crystalline KBaF2 at its relaxed geometry. Source: Alexandria via LeMat-Bulk, functional GGA-PBE. Values from VASP.

Geometry as Quantum ESPRESSO input:
```
&SYSTEM
  ibrav = 0, nat = 4, ntyp = 3
/
ATOMIC_SPECIES
K 39.10 K.upf
Ba 137.33 Ba.upf
F 19.00 F.upf
CELL_PARAMETERS angstrom
1.959 1.131 7.008
-1.959 1.131 7.008
0.000 -2.262 7.008
ATOMIC_POSITIONS angstrom
K 0.000 0.000 0.000
Ba 0.000 0.000 17.430
F 0.000 0.000 8.535
F 0.000 0.000 12.344
```

Energy relative to the elements, uncorrected = -2.559 eV/atom
Energy above the lowest structure with this stoichiometry = 0.231 eV per atom



No. 2
Crystalline ZrTi3Mo2 at its relaxed geometry. Source: Alexandria via LeMat-Bulk, functional GGA-PBE. Values from VASP.

Geometry as Quantum ESPRESSO input:
```
&SYSTEM
  ibrav = 0, nat = 6, ntyp = 3
/
ATOMIC_SPECIES
Zr 91.22 Zr.upf
Ti 47.87 Ti.upf
Mo 95.94 Mo.upf
CELL_PARAMETERS angstrom
3.230 0.000 0.000
0.000 3.230 0.000
0.000 0.000 9.974
ATOMIC_POSITIONS angstrom
Zr 0.000 0.000 0.000
Ti 1.615 1.615 2.013
Ti 1.615 1.615 4.987
Ti 1.615 1.615 7.962
Mo 0.000 0.000 3.377
Mo 0.000 0.000 6.597
```

ΔE_f = -0.043 eV/atom



No. 3
Crystalline TlAgSb2 at its relaxed geometry. Source: Alexandria via LeMat-Bulk, functional GGA-PBE. Values from VASP.

Geometry as Quantum ESPRESSO input:
```
&SYSTEM
  ibrav = 0, nat = 4, ntyp = 3
/
ATOMIC_SPECIES
Tl 204.38 Tl.upf
Ag 107.87 Ag.upf
Sb 121.76 Sb.upf
CELL_PARAMETERS angstrom
3.289 0.000 0.000
0.000 3.289 0.000
0.000 0.000 9.697
ATOMIC_POSITIONS angstrom
Tl 0.000 0.000 0.000
Ag 1.644 1.644 2.354
Sb 0.000 0.000 4.284
Sb 1.644 1.644 7.032
```

Energy relative to the elements, uncorrected = 0.177 eV/atom



No. 4
Crystalline AlCr2Se at its relaxed geometry. Source: Alexandria via LeMat-Bulk, functional GGA-PBE. Values from VASP.

Geometry as Quantum ESPRESSO input:
```
&SYSTEM
  ibrav = 0, nat = 4, ntyp = 3
/
ATOMIC_SPECIES
Al 26.98 Al.upf
Cr 52.00 Cr.upf
Se 78.96 Se.upf
CELL_PARAMETERS angstrom
-2.027 2.027 3.593
2.027 -2.027 3.593
2.027 2.027 -3.593
ATOMIC_POSITIONS angstrom
Al 0.000 0.000 0.000
Cr 2.027 0.000 1.796
Cr 0.000 2.027 1.796
Se 0.000 0.000 3.593
```

Energy relative to the elements, uncorrected = 0.306 eV/atom
Energy above the lowest structure with this stoichiometry = 0.301 eV per atom



No. 5
Crystalline TbTm2Co at its relaxed geometry. Source: Alexandria via LeMat-Bulk, functional GGA-PBE. Values from VASP.

Geometry as Quantum ESPRESSO input:
```
&SYSTEM
  ibrav = 0, nat = 4, ntyp = 3
/
ATOMIC_SPECIES
Tb 158.93 Tb.upf
Tm 168.93 Tm.upf
Co 58.93 Co.upf
CELL_PARAMETERS angstrom
1.863 1.075 8.831
-1.863 1.075 8.831
0.000 -2.151 8.831
ATOMIC_POSITIONS angstrom
Tb 0.000 0.000 0.000
Tm 0.000 0.000 5.968
Tm 0.000 0.000 11.801
Co 0.000 0.000 22.132
```

Energy above the lowest structure with this stoichiometry = 0.162 eV per atom
ΔE_f = -0.022 eV/atom



No. 6
Crystalline Sr2InNiI at its relaxed geometry. Source: Alexandria via LeMat-Bulk, functional GGA-PBE. Values from VASP.

Geometry as Quantum ESPRESSO input:
```
&SYSTEM
  ibrav = 0, nat = 5, ntyp = 4
/
ATOMIC_SPECIES
Sr 87.62 Sr.upf
In 114.82 In.upf
Ni 58.69 Ni.upf
I 126.90 I.upf
CELL_PARAMETERS angstrom
5.923 0.000 0.000
0.000 5.923 0.000
0.000 0.000 4.865
ATOMIC_POSITIONS angstrom
Sr 0.000 2.962 0.000
Sr 2.962 0.000 0.000
In 0.000 0.000 2.432
Ni 0.000 0.000 0.000
I 2.962 2.962 2.432
```

Energy relative to the elements, uncorrected = -0.520 eV/atom



Respective energy values: -4.25 -9.03 -3.19 -6.31 -5.19 -3.21 eV per atom.